{
  "formula": "Pr4Ho15Tm",
  "functional": "GGA-PBE",
  "state": "relaxed",
  "cell": [[5.042, 0.000, 0.000], [0.000, 5.042, 0.000], [0.000, 0.000, 25.091]],
  "species": ["Pr", "Pr", "Pr", "Pr", "Ho", "Ho", "Ho", "Ho", "Ho", "Ho", "Ho", "Ho", "Ho", "Ho", "Ho", "Ho", "Ho", "Ho", "Ho", "Tm"],
  "fractional_positions": [[0.000, 0.000, 0.101], [0.000, 0.000, 0.301], [0.000, 0.000, 0.699], [0.000, 0.000, 0.899], [0.000, 0.500, 0.000], [0.000, 0.500, 0.201], [0.000, 0.500, 0.402], [0.000, 0.500, 0.598], [0.000, 0.500, 0.799], [0.500, 0.000, 0.000], [0.500, 0.000, 0.201], [0.500, 0.000, 0.402], [0.500, 0.000, 0.598], [0.500, 0.000, 0.799], [0.500, 0.500, 0.100], [0.500, 0.500, 0.302], [0.500, 0.500, 0.500], [0.500, 0.500, 0.698], [0.500, 0.500, 0.900], [0.000, 0.000, 0.500]],
  "magmom_total_mub_per_fu": 0.0,
  "sg": "P4/mmm, No. 123",
  "delta_e_f_mev_per_atom": 23
}